# MnCr2Fe8 GGA-PBE optimized geometry
data_MnCr2Fe8
_cell_length_a 6.830
_cell_length_b 6.830
_cell_length_c 6.830
_cell_angle_alpha 145.94
_cell_angle_beta 60.37
_cell_angle_gamma 131.76
_space_group_name_H-M_alt 'P 1'
_space_group_IT_number 1
loop_
_space_group_symop_operation_xyz
'x,y,z'
loop_
_atom_site_label
_atom_site_type_symbol
_atom_site_fract_x
_atom_site_fract_y
_atom_site_fract_z
Mn1 Mn 0.000 0.000 0.000
Cr1 Cr 0.373 0.034 0.339
Cr2 Cr 0.694 0.034 0.661
Fe1 Fe 0.110 0.274 0.836
Fe2 Fe 0.170 0.513 0.658
Fe3 Fe 0.285 0.785 0.500
Fe4 Fe 0.438 0.274 0.164
Fe5 Fe 0.534 0.534 0.000
Fe6 Fe 0.591 0.769 0.821
Fe7 Fe 0.855 0.513 0.342
Fe8 Fe 0.948 0.769 0.179
# * DOS at the Fermi energy: 0.946 states/eV per atom
# * uncorrected energy: -8.520 eV/atom
# * total magnetization: 15.44 μB/cell